Entry 1:
PBE Li7Tl3Pb, relaxed; energy relative to the elements = -0.14 eV/atom
1.0
4.841 -5.107 0.000
4.841 5.107 0.000
-2.153 0.000 4.851
Li Tl Pb
7 3 1
direct
0.000 0.000 0.000
0.085 0.572 0.330
0.302 0.302 0.902
0.428 0.915 0.670
0.572 0.085 0.330
0.698 0.698 0.098
0.915 0.428 0.670
0.275 0.725 0.000
0.500 0.500 0.500
0.725 0.275 0.000
0.000 0.000 0.500

Entry 2:
PBE AcNd2Au, relaxed; energy relative to the elements = -0.13 eV/atom
1.0
5.704 0.000 0.000
0.000 5.704 0.000
0.000 0.000 3.809
Ac Nd Au
1 2 1
direct
0.000 0.000 0.000
0.000 0.500 0.500
0.500 0.000 0.500
0.500 0.500 0.000

Entry 3:
PBE SrLaPt2, relaxed; energy relative to the elements = -0.90 eV/atom
1.0
4.294 0.000 0.000
0.000 4.294 0.000
0.000 0.000 6.041
Sr La Pt
1 1 2
direct
0.000 0.000 0.000
0.500 0.500 0.500
0.000 0.000 0.500
0.500 0.500 0.000

Entry 4:
PBE YSb2, relaxed; energy relative to the elements, uncorrected = -0.84 eV per formula unit
1.0
3.636 0.000 0.000
-1.818 3.149 0.000
0.000 0.000 7.347
Y Sb
1 2
direct
0.000 0.000 0.000
0.333 0.667 0.326
0.667 0.333 0.674

Entry 5:
PBE LiBe2Cd2, relaxed; energy relative to the elements = 0.17 eV/atom
1.0
7.247 0.000 0.000
0.000 7.247 0.000
0.000 0.000 2.863
Li Be Cd
2 4 4
direct
0.000 0.000 0.000
0.500 0.500 0.000
0.108 0.392 0.000
0.392 0.892 0.000
0.608 0.108 0.000
0.892 0.608 0.000
0.187 0.687 0.500
0.313 0.187 0.500
0.687 0.813 0.500
0.813 0.313 0.500

Entry 6:
PBE CsK2Br, relaxed; energy relative to the elements, uncorrected = -3.19 eV per formula unit
1.0
2.450 1.415 12.599
-2.450 1.415 12.599
0.000 -2.829 12.599
Cs K Br
1 2 1
direct
0.000 0.000 0.000
0.218 0.218 0.218
0.450 0.450 0.450
0.834 0.834 0.834

Entry 7:
PBE HoThHgPt, relaxed; energy relative to the elements = -0.67 eV/atom
1.0
0.000 3.666 3.666
3.666 0.000 3.666
3.666 3.666 0.000
Ho Th Hg Pt
1 1 1 1
direct
0.000 0.000 0.000
0.500 0.500 0.500
0.750 0.750 0.750
0.250 0.250 0.250

Entry 8:
PBE Ca3Zn2Sb4, relaxed; energy relative to the elements, uncorrected = -5.22 eV per formula unit
1.0
6.819 -2.146 0.000
6.819 2.146 0.000
-4.604 0.000 8.465
Ca Zn Sb
3 2 4
direct
0.000 0.000 0.000
0.372 0.372 0.304
0.628 0.628 0.696
0.307 0.307 0.641
0.693 0.693 0.359
0.082 0.082 0.391
0.304 0.304 0.921
0.696 0.696 0.079
0.918 0.918 0.609

Entry 9:
PBE Y6NiSe3S2, relaxed; energy relative to the elements, uncorrected = -19.78 eV per formula unit
1.0
3.477 -6.021 0.000
3.477 6.021 0.000
-2.342 0.000 6.618
Y Ni Se S
6 1 3 2
direct
0.075 0.398 0.229
0.246 0.246 0.768
0.398 0.075 0.229
0.602 0.925 0.771
0.754 0.754 0.232
0.925 0.602 0.771
0.000 0.000 0.000
0.173 0.827 0.500
0.500 0.500 0.500
0.827 0.173 0.500
0.334 0.666 0.000
0.666 0.334 0.000

Entry 10:
PBE Zn2HgPb, relaxed; energy relative to the elements = 0.19 eV/atom
1.0
-2.293 2.293 4.271
2.293 -2.293 4.271
2.293 2.293 -4.271
Zn Hg Pb
2 1 1
direct
0.250 0.750 0.500
0.750 0.250 0.500
0.000 0.000 0.000
0.500 0.500 0.000

Entry 11:
PBE SmDy2Bi, relaxed; energy relative to the elements = -0.45 eV/atom
1.0
4.658 0.000 0.000
0.000 4.622 0.000
-2.331 0.000 11.549
Sm Dy Bi
2 4 2
direct
0.194 0.250 0.387
0.806 0.750 0.613
0.059 0.750 0.119
0.442 0.750 0.883
0.558 0.250 0.117
0.941 0.250 0.881
0.334 0.250 0.668
0.666 0.750 0.332

Entry 12:
PBE MnFe4H5, relaxed; E_tot = -5.984 eV/atom
1.0
-2.948 2.948 1.868
2.948 -2.948 1.868
2.948 2.948 -1.868
Mn Fe H
1 4 5
direct
0.000 0.000 0.000
0.203 0.399 0.603
0.399 0.797 0.196
0.601 0.203 0.804
0.797 0.601 0.397
0.104 0.684 0.788
0.316 0.104 0.419
0.500 0.500 0.000
0.684 0.896 0.581
0.896 0.316 0.212